[1]
A plane-wave DFT calculation with PBE-GGA was carried out for an optimized crystal structure of CeNiSnS3.

Computed properties:
space-group type: No. 11
D(E_F): 10.718 states/eV per cell
E: -68.5 eV per cell

```
data_CeNiSnS3
_chemical_formula_sum 'Ce2 Ni2 Sn2 S6'
_cell_length_a 8.258
_cell_length_b 3.850
_cell_length_c 8.512
_cell_angle_alpha 90.00
_cell_angle_beta 93.79
_cell_angle_gamma 90.00
_symmetry_space_group_name_H-M 'P 1'
_symmetry_Int_Tables_number 1
loop_
_symmetry_equiv_pos_as_xyz
'x,y,z'
loop_
_atom_site_label
_atom_site_fract_x
_atom_site_fract_y
_atom_site_fract_z
Ce1 0.220 0.250 0.133
Ce2 0.780 0.750 0.867
Ni1 0.421 0.750 0.910
Ni2 0.579 0.250 0.090
Sn1 0.181 0.250 0.635
Sn2 0.819 0.750 0.365
S1 0.141 0.750 0.375
S2 0.141 0.750 0.888
S3 0.475 0.750 0.176
S4 0.525 0.250 0.824
S5 0.859 0.250 0.112
S6 0.859 0.250 0.625
```



[2]
A plane-wave DFT calculation with PBE-GGA was carried out for an optimized crystal structure of Gd2Ti12Cu9O36.

Computed properties:
space-group type: No. 147
D(E_F): 6.849 states/eV per cell
E: -473.0 eV per cell

```
data_Gd2Ti12Cu9O36
_chemical_formula_sum 'Gd2 Ti12 Cu9 O36'
_cell_length_a 10.528
_cell_length_b 10.528
_cell_length_c 6.465
_cell_angle_alpha 90.00
_cell_angle_beta 90.00
_cell_angle_gamma 120.00
_symmetry_space_group_name_H-M 'P 1'
_symmetry_Int_Tables_number 1
loop_
_symmetry_equiv_pos_as_xyz
'x,y,z'
loop_
_atom_site_label
_atom_site_fract_x
_atom_site_fract_y
_atom_site_fract_z
Gd1 0.333 0.667 0.329
Gd2 0.667 0.333 0.671
Ti1 0.000 0.000 0.500
Ti2 0.000 0.500 0.500
Ti3 0.157 0.839 0.162
Ti4 0.161 0.318 0.162
Ti5 0.318 0.157 0.838
Ti6 0.333 0.667 0.841
Ti7 0.500 0.000 0.500
Ti8 0.500 0.500 0.500
Ti9 0.667 0.333 0.159
Ti10 0.682 0.843 0.162
Ti11 0.839 0.682 0.838
Ti12 0.843 0.161 0.838
Cu1 0.000 0.500 0.000
Cu2 0.168 0.831 0.661
Cu3 0.169 0.337 0.661
Cu4 0.337 0.168 0.339
Cu5 0.500 0.000 0.000
Cu6 0.500 0.500 0.000
Cu7 0.663 0.832 0.661
Cu8 0.831 0.663 0.339
Cu9 0.832 0.169 0.339
O1 0.016 0.852 0.330
O2 0.044 0.775 0.911
O3 0.074 0.625 0.250
O4 0.117 0.410 0.412
O5 0.148 0.165 0.330
O6 0.165 0.016 0.670
O7 0.176 0.649 0.646
O8 0.192 0.509 0.015
O9 0.225 0.269 0.911
O10 0.269 0.044 0.089
O11 0.293 0.883 0.412
O12 0.316 0.808 0.015
O13 0.351 0.527 0.646
O14 0.375 0.449 0.250
O15 0.410 0.293 0.588
O16 0.449 0.074 0.750
O17 0.473 0.824 0.646
O18 0.491 0.684 0.015
O19 0.509 0.316 0.985
O20 0.527 0.176 0.354
O21 0.551 0.926 0.250
O22 0.590 0.707 0.412
O23 0.625 0.551 0.750
O24 0.649 0.473 0.354
O25 0.684 0.192 0.985
O26 0.707 0.117 0.588
O27 0.731 0.956 0.911
O28 0.775 0.731 0.089
O29 0.808 0.491 0.985
O30 0.824 0.351 0.354
O31 0.835 0.984 0.330
O32 0.852 0.835 0.670
O33 0.883 0.590 0.588
O34 0.926 0.375 0.750
O35 0.956 0.225 0.089
O36 0.984 0.148 0.670
```



[3]
A plane-wave DFT calculation with PBE-GGA was carried out for an optimized crystal structure of SmPuS3.

Computed properties:
space-group type: No. 62
D(E_F): 31.387 states/eV per cell
E: -163.1 eV per cell

```
data_SmPuS3
_chemical_formula_sum 'Sm4 Pu4 S12'
_cell_length_a 7.364
_cell_length_b 3.964
_cell_length_c 15.344
_cell_angle_alpha 90.00
_cell_angle_beta 90.00
_cell_angle_gamma 90.00
_symmetry_space_group_name_H-M 'P 1'
_symmetry_Int_Tables_number 1
loop_
_symmetry_equiv_pos_as_xyz
'x,y,z'
loop_
_atom_site_label
_atom_site_fract_x
_atom_site_fract_y
_atom_site_fract_z
Sm1 0.135 0.250 0.205
Sm2 0.365 0.750 0.705
Sm3 0.635 0.250 0.295
Sm4 0.865 0.750 0.795
Pu1 0.234 0.750 0.461
Pu2 0.266 0.250 0.961
Pu3 0.734 0.750 0.039
Pu4 0.766 0.250 0.539
S1 0.011 0.250 0.394
S2 0.127 0.750 0.067
S3 0.152 0.250 0.783
S4 0.348 0.750 0.283
S5 0.373 0.250 0.567
S6 0.489 0.750 0.894
S7 0.511 0.250 0.106
S8 0.627 0.750 0.433
S9 0.652 0.250 0.717
S10 0.848 0.750 0.217
S11 0.873 0.250 0.933
S12 0.989 0.750 0.606
```



[4]
A plane-wave DFT calculation with PBE-GGA was carried out for an optimized crystal structure of Ba2Zn3Si.

Computed properties:
space-group type: No. 69
D(E_F): 5.079 states/eV per cell
E: -29.4 eV per cell

```
data_Ba2Zn3Si
_chemical_formula_sum 'Ba4 Zn6 Si2'
_cell_length_a 9.154
_cell_length_b 9.039
_cell_length_c 6.600
_cell_angle_alpha 69.66
_cell_angle_beta 67.80
_cell_angle_gamma 42.54
_symmetry_space_group_name_H-M 'P 1'
_symmetry_Int_Tables_number 1
loop_
_symmetry_equiv_pos_as_xyz
'x,y,z'
loop_
_atom_site_label
_atom_site_fract_x
_atom_site_fract_y
_atom_site_fract_z
Ba1 0.229 0.771 0.229
Ba2 0.250 0.250 0.250
Ba3 0.750 0.750 0.750
Ba4 0.771 0.229 0.771
Zn1 0.174 0.174 0.826
Zn2 0.179 0.651 0.821
Zn3 0.349 0.821 0.651
Zn4 0.651 0.179 0.349
Zn5 0.821 0.349 0.179
Zn6 0.826 0.826 0.174
Si1 0.335 0.335 0.665
Si2 0.665 0.665 0.335
```



[5]
A plane-wave DFT calculation with PBE-GGA was carried out for an optimized crystal structure of KFeAg.

Computed properties:
space-group type: No. 107
ΔH_f (0 K): 2.1 eV/f.u.
D(E_F): 4.582 states/eV per cell
E: -10.3 eV per cell

```
data_KFeAg
_chemical_formula_sum 'K1 Fe1 Ag1'
_cell_length_a 6.639
_cell_length_b 6.639
_cell_length_c 6.639
_cell_angle_alpha 148.83
_cell_angle_beta 148.83
_cell_angle_gamma 44.66
_symmetry_space_group_name_H-M 'P 1'
_symmetry_Int_Tables_number 1
loop_
_symmetry_equiv_pos_as_xyz
'x,y,z'
loop_
_atom_site_label
_atom_site_fract_x
_atom_site_fract_y
_atom_site_fract_z
K1 0.000 0.000 0.000
Fe1 0.274 0.274 0.000
Ag1 0.718 0.718 0.000
```



[6]
A plane-wave DFT calculation with PBE-GGA was carried out for an optimized crystal structure of Pm8Ho5Mg.

Computed properties:
space-group type: No. 5
ΔH_f (0 K): 2.7 eV/f.u.
D(E_F): 20.917 states/eV per cell
E: -59.8 eV per cell

```
data_Pm8Ho5Mg
_chemical_formula_sum 'Pm8 Ho5 Mg1'
_cell_length_a 8.118
_cell_length_b 8.118
_cell_length_c 9.439
_cell_angle_alpha 119.34
_cell_angle_beta 119.34
_cell_angle_gamma 78.44
_symmetry_space_group_name_H-M 'P 1'
_symmetry_Int_Tables_number 1
loop_
_symmetry_equiv_pos_as_xyz
'x,y,z'
loop_
_atom_site_label
_atom_site_fract_x
_atom_site_fract_y
_atom_site_fract_z
Pm1 0.044 0.044 0.222
Pm2 0.167 0.482 0.294
Pm3 0.255 0.247 0.838
Pm4 0.498 0.213 0.576
Pm5 0.518 0.833 0.706
Pm6 0.753 0.745 0.162
Pm7 0.787 0.502 0.424
Pm8 0.956 0.956 0.778
Ho1 0.281 0.613 0.787
Ho2 0.387 0.719 0.213
Ho3 0.441 0.089 0.144
Ho4 0.710 0.290 0.000
Ho5 0.911 0.559 0.856
Mg1 0.855 0.145 0.500
```



Repeat the fourth record exactly.
A plane-wave DFT calculation with PBE-GGA was carried out for an optimized crystal structure of Ba2Zn3Si.

Computed properties:
space-group type: No. 69
D(E_F): 5.079 states/eV per cell
E: -29.4 eV per cell

```
data_Ba2Zn3Si
_chemical_formula_sum 'Ba4 Zn6 Si2'
_cell_length_a 9.154
_cell_length_b 9.039
_cell_length_c 6.600
_cell_angle_alpha 69.66
_cell_angle_beta 67.80
_cell_angle_gamma 42.54
_symmetry_space_group_name_H-M 'P 1'
_symmetry_Int_Tables_number 1
loop_
_symmetry_equiv_pos_as_xyz
'x,y,z'
loop_
_atom_site_label
_atom_site_fract_x
_atom_site_fract_y
_atom_site_fract_z
Ba1 0.229 0.771 0.229
Ba2 0.250 0.250 0.250
Ba3 0.750 0.750 0.750
Ba4 0.771 0.229 0.771
Zn1 0.174 0.174 0.826
Zn2 0.179 0.651 0.821
Zn3 0.349 0.821 0.651
Zn4 0.651 0.179 0.349
Zn5 0.821 0.349 0.179
Zn6 0.826 0.826 0.174
Si1 0.335 0.335 0.665
Si2 0.665 0.665 0.335
```



> Which of these has the highest D(E_F)?

SmPuS3